Density functional theory data (PBE) for a relaxed LiCuNiGe crystal.

Values from the calculation:
Crystal system: cubic
Uncorrected energy, Ry per atom: -0.310

Cell: 5.7697 5.7697 5.7697 Å, 90.00 90.00 90.00°
With the nearest neighbours (Å) after each atom.
Fractional positions:
1 Li 0.0000 0.0000 0.0000  4 Ni 2.50, 4 Cu 2.50
2 Li 0.0000 0.5000 0.5000  4 Ni 2.50, 4 Cu 2.50
3 Li 0.5000 0.0000 0.5000  4 Ni 2.50, 4 Cu 2.50
4 Li 0.5000 0.5000 0.0000  4 Ni 2.50, 4 Cu 2.50
5 Cu 0.2500 0.2500 0.7500  4 Ge 2.50, 4 Li 2.50
6 Cu 0.2500 0.7500 0.2500  4 Ge 2.50, 4 Li 2.50
7 Cu 0.7500 0.2500 0.2500  4 Ge 2.50, 4 Li 2.50
8 Cu 0.7500 0.7500 0.7500  4 Ge 2.50, 4 Li 2.50
9 Ni 0.2500 0.2500 0.2500  4 Ge 2.50, 4 Li 2.50
10 Ni 0.2500 0.7500 0.7500  4 Ge 2.50, 4 Li 2.50
11 Ni 0.7500 0.2500 0.7500  4 Ge 2.50, 4 Li 2.50
12 Ni 0.7500 0.7500 0.2500  4 Ge 2.50, 4 Li 2.50
13 Ge 0.0000 0.0000 0.5000  4 Ni 2.50, 4 Cu 2.50
14 Ge 0.0000 0.5000 0.0000  4 Ni 2.50, 4 Cu 2.50
15 Ge 0.5000 0.0000 0.0000  4 Ni 2.50, 4 Cu 2.50
16 Ge 0.5000 0.5000 0.5000  4 Ni 2.50, 4 Cu 2.50